(1)
AgSb2Cl PBE-GGA optimized geometry; total moment = 0.00 μB/f.u.; space group = P4mm; ρ = 6.6 Mg/m³; density of states at the Fermi level = 1.66 states/eV per cell; formation energy from raw total energies = 0.030 eV/atom
1.0
3.2591 0.0000 0.0000
0.0000 3.2591 0.0000
0.0000 0.0000 9.2261
Sb Ag Cl
2 1 1
Cartesian
1.6295 1.6295 2.6638 Sb
0.0000 0.0000 0.0934 Sb
0.0000 0.0000 4.7512 Ag
1.6295 1.6295 6.3308 Cl

***

(2)
AgSb2Cl PBE-GGA optimized geometry; total moment = 0.00 μB/f.u.; space group = P4mm; ρ = 6.3 Mg/m³; density of states at the Fermi level = 0.60 states/eV per cell; formation energy from raw total energies = -0.014 eV/atom
1.0
3.6969 0.0000 0.0000
0.0000 3.6977 0.0000
0.0000 0.0000 7.4901
Sb Ag Cl
2 1 1
Cartesian
0.0000 0.0000 0.3326 Sb
1.8484 1.8488 1.8990 Sb
0.0000 0.0000 3.7808 Ag
1.8484 1.8488 5.2228 Cl

***

(3)
AgSbCl4 PBE-GGA optimized geometry; total moment = 1.46 μB/f.u.; space group = F-43m; ρ = 4.3 Mg/m³; density of states at the Fermi level = 4.94 states/eV per cell; formation energy from raw total energies = 0.561 eV/atom
1.0
-3.2010 -4.5139 1.9563
-4.0190 0.8509 4.1919
-5.7135 -0.3286 -1.3023
Ag Sb Cl
1 1 4
Cartesian
0.0000 0.0000 0.0000 Ag
-9.7002 -2.9937 3.6344 Sb
-6.4505 -3.7647 2.7976 Cl
-6.8620 -1.0657 3.9223 Cl
-7.7145 -1.6590 1.1582 Cl
-4.8401 -1.4937 1.8134 Cl

***

(4)
AgSbCl6 PBE-GGA optimized geometry; total moment = 0.00 μB/f.u.; space group = P2_1/c; ρ = 3.2 Mg/m³; formation energy from raw total energies = -0.594 eV/atom
1.0
6.6222 0.0000 -0.0308
0.0000 6.9520 0.0000
-0.0613 0.0000 9.9222
Cl Sb Ag
12 2 2
Cartesian
4.5841 4.6936 5.6039 Cl
5.7130 3.2622 2.6823 Cl
1.0420 5.5697 4.3226 Cl
1.9768 2.2583 4.2875 Cl
5.2572 1.2177 9.2332 Cl
2.2385 2.0937 0.6231 Cl
4.1896 6.7382 2.2325 Cl
4.3224 4.8583 9.2683 Cl
1.3037 5.7343 0.6582 Cl
0.8479 3.6898 7.2090 Cl
5.5189 1.3823 5.5688 Cl
2.3713 0.2138 7.6588 Cl
-0.0306 3.4760 4.9611 Sb
3.3111 0.0000 -0.0154 Sb
0.0000 3.4760 0.0000 Ag
3.2805 0.0000 4.9457 Ag

***

(5)
AgSbCl2 PBE-GGA optimized geometry; total moment = 0.00 μB/f.u.; space group = P4/mmm; ρ = 5.6 Mg/m³; density of states at the Fermi level = 0.68 states/eV per cell; formation energy from raw total energies = -0.114 eV/atom
1.0
3.2736 0.0000 0.0000
0.0000 3.2736 0.0000
0.0000 0.0000 8.3441
Cl Ag Sb
2 1 1
Cartesian
0.0000 0.0000 8.0419 Cl
0.0000 0.0000 4.4742 Cl
1.6368 1.6368 6.2580 Ag
1.6368 1.6368 2.0860 Sb

***

(6)
AgSbCl2 PBE-GGA optimized geometry; total moment = 0.00 μB/f.u.; space group = I-42d; ρ = 3.9 Mg/m³; density of states at the Fermi level = 0.00 states/eV per cell; formation energy from raw total energies = -0.259 eV/atom
1.0
-8.6121 4.7051 0.6062
-1.1413 -0.8355 -9.7300
-6.1310 -0.4059 -4.2138
Ag Sb Cl
2 2 4
Cartesian
-6.0745 0.3467 -9.2529 Ag
-4.8767 1.9348 -4.5619 Ag
0.0000 0.0000 0.0000 Sb
-9.8099 3.1170 -4.0848 Sb
-10.7194 4.0056 -6.5383 Cl
-12.1522 3.7990 -2.7868 Cl
-8.2733 3.3987 -1.8053 Cl
-8.0947 1.2646 -5.2088 Cl

***

(7)
Ag6SbCl12 PBE-GGA optimized geometry; total moment = 0.00 μB/f.u.; space group = R-3; ρ = 3.4 Mg/m³; density of states at the Fermi level = 13.59 states/eV per cell; formation energy from raw total energies = -0.475 eV/atom
1.0
-0.9027 7.7418 3.3682
-0.8350 -2.1073 8.1827
7.9639 1.3372 2.6236
Cl Ag Sb
12 6 1
Cartesian
4.5887 -0.8269 10.1410 Cl
5.6336 3.2764 8.5179 Cl
1.6374 7.7985 4.0335 Cl
2.3108 3.4745 9.8800 Cl
0.5926 3.6952 5.6566 Cl
-1.0789 0.4196 8.8559 Cl
3.9154 3.4971 4.2945 Cl
-1.1027 6.3579 9.1073 Cl
7.3289 0.6137 5.0673 Cl
7.3051 6.5520 5.3187 Cl
3.6310 6.2103 7.9546 Cl
2.5952 0.7613 6.2200 Cl
6.1224 5.7723 8.0181 Ag
1.8371 5.9591 9.8085 Ag
1.7448 4.7726 3.6781 Ag
4.3890 1.0125 4.3660 Ag
0.1038 1.1993 6.1565 Ag
4.4814 2.1989 10.4964 Ag
0.0000 0.0000 0.0000 Sb

***

(8)
Ag5Sb3Cl12 PBE-GGA optimized geometry; total moment = 0.00 μB/f.u.; space group = Ia-3d; ρ = 3.9 Mg/m³; density of states at the Fermi level = 5.42 states/eV per cell; formation energy from raw total energies = -0.452 eV/atom
1.0
-3.6156 13.5216 -3.1070
3.8377 -6.8038 -12.0225
-11.2073 -6.7048 5.9162
Cl Sb Ag
48 12 20
Cartesian
-4.2463 1.8101 -2.9277 Cl
-5.9925 -2.6970 -9.4834 Cl
-0.3533 1.6805 -5.4217 Cl
-10.6319 -1.6675 -3.7915 Cl
-1.8801 -1.7994 -0.9232 Cl
-2.9642 7.6784 -9.3610 Cl
-10.6233 -0.8994 -0.4586 Cl
-3.1804 -3.8642 -7.9252 Cl
-0.0841 4.9666 -13.0165 Cl
-0.6568 -7.6422 -8.7916 Cl
1.2115 -2.0769 -8.3283 Cl
-8.0893 -4.8715 -5.9508 Cl
-4.5276 7.1731 -1.3137 Cl
-12.4829 5.9742 1.6096 Cl
-6.0038 -5.2740 -3.2897 Cl
-6.4576 -7.1602 -7.8996 Cl
-5.4179 8.6384 -5.3984 Cl
-8.5487 -8.2170 -5.4078 Cl
-10.3284 7.6552 -0.4216 Cl
-3.9200 -6.3583 -5.7758 Cl
-4.9039 -2.6745 0.3743 Cl
-8.3211 -2.8683 3.0365 Cl
-7.5105 1.7729 -3.9486 Cl
-12.1967 2.0899 -0.8849 Cl
-8.0211 -7.6654 0.1477 Cl
-6.2710 -0.8156 -2.0880 Cl
-7.8868 0.8902 0.3762 Cl
-2.6641 2.8813 -12.2497 Cl
1.4976 -5.9612 -10.8228 Cl
-7.0652 6.3713 -3.4375 Cl
-7.8049 3.8772 -1.2881 Cl
-0.1014 -1.7072 -5.1917 Cl
-4.9927 2.7100 0.2701 Cl
-0.3619 0.9124 -8.7547 Cl
-8.6986 -4.6820 -1.3468 Cl
-6.7389 -1.7971 -6.2856 Cl
-6.0813 2.6875 -9.5876 Cl
-9.1051 1.8124 -8.2900 Cl
-4.7142 0.8286 -7.1252 Cl
-2.2866 4.6950 -7.8665 Cl
-2.4366 8.2300 -3.8054 Cl
-10.9011 -4.9536 3.8032 Cl
-3.4747 -1.7599 -5.2647 Cl
-5.5673 -8.6254 -3.8149 Cl
-4.9814 5.2869 -5.9236 Cl
-10.8838 1.7202 -4.0215 Cl
-2.8959 4.8845 -3.2625 Cl
-3.0984 -0.8772 -9.5894 Cl
-1.6863 5.8904 -10.9960 Sb
-5.4858 9.3047 -2.7424 Sb
-9.2261 0.8710 -2.0131 Sb
-4.6269 0.0156 -0.0610 Sb
-6.3583 -0.0026 -9.1523 Sb
-1.7591 -0.8580 -7.2001 Sb
-2.6735 6.7517 -6.0992 Sb
-8.3117 -6.7387 -3.1141 Sb
-5.4994 -9.2917 -6.4709 Sb
-5.5031 4.2357 -2.7289 Sb
-9.2989 -5.8774 1.7827 Sb
-5.4821 -4.2228 -6.4843 Sb
-9.1706 2.5504 -5.7955 Ag
0.0000 0.0000 0.0000 Ag
-5.6036 -3.3524 2.9581 Ag
-1.8146 -2.5374 -3.4177 Ag
-1.7036 0.8215 -10.9825 Ag
-9.1879 -2.5186 -5.7820 Ag
-3.6848 -6.7543 -3.0531 Ag
-7.4115 3.4084 1.4046 Ag
0.1110 3.3589 -7.5647 Ag
-1.8078 6.7608 -1.5535 Ag
-1.7764 -5.9270 -7.1866 Ag
-1.7973 2.5315 -3.4312 Ag
-6.4693 -3.3615 -1.5875 Ag
-5.4926 0.0065 -4.6066 Ag
-9.2816 -0.8085 1.7692 Ag
1.9188 -3.4019 -6.0112 Ag
-12.0384 3.4240 1.3436 Ag
1.0532 -3.4110 -10.5569 Ag
-4.5159 3.3745 -7.6257 Ag
-9.2088 5.9399 -2.0266 Ag

***

(9)
AgSbCl2 PBE-GGA optimized geometry; total moment = 0.00 μB/f.u.; space group = Pmmm; ρ = 5.4 Mg/m³; density of states at the Fermi level = 2.61 states/eV per cell; formation energy from raw total energies = -0.081 eV/atom
1.0
3.2572 0.0000 0.0000
0.0000 6.1271 0.0000
0.0000 0.0000 4.6470
Cl Sb Ag
2 1 1
Cartesian
1.6286 3.0636 0.0000 Cl
0.0000 0.0000 0.0000 Cl
1.6286 0.0000 2.3235 Sb
0.0000 3.0636 2.3235 Ag

***

(10)
AgSb2Cl PBE-GGA optimized geometry; total moment = 0.00 μB/f.u.; space group = Cmmm; ρ = 6.8 Mg/m³; density of states at the Fermi level = 1.40 states/eV per cell; formation energy from raw total energies = 0.028 eV/atom
1.0
3.3359 -0.0318 0.0000
-1.5970 2.9290 0.0000
0.0000 0.0000 9.7624
Ag Sb Cl
1 2 1
Cartesian
0.8695 1.4486 2.4406 Ag
0.0000 0.0000 4.8566 Sb
0.0000 0.0000 0.0246 Sb
0.8695 1.4486 7.3218 Cl

***

(11)
AgSb2Cl PBE-GGA optimized geometry; total moment = 0.00 μB/f.u.; space group = R-3m; ρ = 6.6 Mg/m³; density of states at the Fermi level = 1.97 states/eV per cell; formation energy from raw total energies = 0.065 eV/atom
1.0
-1.1796 -0.4355 -9.0970
2.3640 -0.4461 -8.8628
0.5502 -3.4756 -8.4826
Ag Cl Sb
1 1 2
Cartesian
0.4336 -1.0893 -6.6106 Ag
1.3009 -3.2679 -19.8318 Cl
0.8776 -2.2045 -13.3787 Sb
1.7243 -4.3312 -26.2850 Sb

***

(12)
Ag3SbCl6 PBE-GGA optimized geometry; total moment = 0.00 μB/f.u.; space group = R-3; ρ = 4.1 Mg/m³; density of states at the Fermi level = 0.00 states/eV per cell; formation energy from raw total energies = -0.587 eV/atom
1.0
-2.3455 -7.7477 -0.5023
4.4866 -0.7047 -6.7197
6.3169 -1.9977 4.6784
Cl Ag Sb
12 6 2
Cartesian
5.0391 -6.1326 -3.6549 Cl
3.9826 -3.2101 -5.9081 Cl
1.4838 -7.6893 -4.7369 Cl
4.5463 -2.6582 -1.9569 Cl
6.9742 -2.7608 2.1933 Cl
0.1923 -7.8040 0.3619 Cl
6.7719 -5.5013 -0.4868 Cl
1.6861 -4.9488 -2.0568 Cl
8.2657 -2.6461 -2.9055 Cl
3.4189 -4.3175 1.1112 Cl
4.4754 -7.2400 3.3644 Cl
3.9117 -7.7920 -0.5867 Cl
6.0220 -7.9930 1.0882 Ag
2.4360 -2.4571 -3.6319 Ag
7.9202 -5.4780 -2.9323 Ag
4.5510 -1.8679 0.9803 Ag
0.5378 -4.9721 0.3886 Ag
3.9069 -8.5822 -3.5239 Ag
0.0000 0.0000 0.0000 Sb
4.2290 -5.2251 -1.2718 Sb

***

(13)
Ag3SbCl6 PBE-GGA optimized geometry; total moment = 0.00 μB/f.u.; space group = P2_1/c; ρ = 4.3 Mg/m³; density of states at the Fermi level = 0.00 states/eV per cell; formation energy from raw total energies = -0.585 eV/atom
1.0
6.9692 0.0000 -0.3561
0.0000 6.8985 0.0000
0.2996 0.0000 10.5929
Sb Cl Ag
2 12 6
Cartesian
3.6344 3.4493 5.1184 Sb
0.0000 0.0000 0.0000 Sb
4.9246 1.2004 9.7147 Cl
1.0812 0.7113 8.0871 Cl
1.1549 2.2437 0.8579 Cl
4.7893 1.2056 5.9764 Cl
4.4160 2.7380 2.6126 Cl
2.4795 5.6930 4.2605 Cl
1.2902 2.2488 4.5963 Cl
2.8528 4.1606 7.6242 Cl
6.1876 6.1872 2.1497 Cl
2.3442 5.6981 0.5221 Cl
6.1139 4.6548 9.3789 Cl
5.9786 4.6497 5.6405 Cl
3.4846 3.4493 -0.1780 Ag
3.6032 0.2582 2.3734 Ag
7.0004 3.7074 2.3889 Ag
0.2684 3.1911 7.8479 Ag
3.6656 6.6404 7.8634 Ag
0.1498 0.0000 5.2964 Ag

***

(14)
AgSb2Cl2 PBE-GGA optimized geometry; total moment = 0.00 μB/f.u.; space group = P4/mbm; ρ = 5.0 Mg/m³; density of states at the Fermi level = 3.07 states/eV per cell; formation energy from raw total energies = -0.309 eV/atom
1.0
7.2892 0.0000 0.0000
0.0000 7.2892 0.0000
0.0000 0.0000 5.3203
Sb Cl Ag
4 4 2
Cartesian
1.0569 2.5877 0.0000 Sb
4.7015 1.0569 0.0000 Sb
2.5877 6.2323 0.0000 Sb
6.2323 4.7015 0.0000 Sb
6.0100 4.9237 2.6601 Cl
2.3654 6.0100 2.6601 Cl
4.9237 1.2792 2.6601 Cl
1.2792 2.3654 2.6601 Cl
3.6446 3.6446 0.0000 Ag
0.0000 0.0000 0.0000 Ag

***

(15)
AgSb2Cl PBE-GGA optimized geometry; total moment = 0.00 μB/f.u.; space group = Immm; ρ = 5.8 Mg/m³; density of states at the Fermi level = 1.16 states/eV per cell; formation energy from raw total energies = -0.025 eV/atom
1.0
7.9627 2.0417 -0.4976
5.0917 6.4535 0.4976
-6.0705 -4.9494 2.5442
Sb Cl Ag
2 1 1
Cartesian
12.4146 8.0787 0.0000 Sb
7.1671 4.6640 0.0000 Sb
2.7742 2.8758 1.5209 Cl
4.2097 0.6699 1.0233 Ag

***

(16)
AgSbCl2 PBE-GGA optimized geometry; total moment = 0.00 μB/f.u.; space group = R-3m; ρ = 4.9 Mg/m³; density of states at the Fermi level = 0.64 states/eV per cell; formation energy from raw total energies = -0.358 eV/atom
1.0
2.1065 0.0000 8.7987
-1.0532 1.8243 8.7987
-1.0532 -1.8243 8.7987
Cl Ag Sb
2 1 1
Cartesian
0.0000 0.0000 23.7441 Cl
0.0000 0.0000 2.6521 Cl
0.0000 0.0000 13.1981 Ag
0.0000 0.0000 0.0000 Sb

***

(17)
AgSbCl2 PBE-GGA optimized geometry; total moment = 0.00 μB/f.u.; space group = Amm2; ρ = 4.7 Mg/m³; density of states at the Fermi level = 1.14 states/eV per cell; formation energy from raw total energies = -0.301 eV/atom
1.0
3.5062 0.0000 0.0000
0.0000 3.5898 -0.0017
0.0000 1.8039 8.3783
Ag Cl Sb
1 2 1
Cartesian
1.7531 3.8208 6.2746 Ag
0.0000 2.0266 7.5810 Cl
1.7531 2.0226 2.5151 Cl
0.0000 2.0245 4.5724 Sb

***

(18)
AgSbCl2 PBE-GGA optimized geometry; total moment = 0.00 μB/f.u.; space group = Fm-3m; ρ = 5.5 Mg/m³; density of states at the Fermi level = 2.80 states/eV per cell; formation energy from raw total energies = 0.082 eV/atom
1.0
2.7840 -1.5262 3.9238
-2.1672 -2.5006 3.8114
0.9518 -4.9127 0.6602
Cl Ag Sb
2 1 1
Cartesian
0.3922 -2.2349 2.0989 Cl
1.1765 -6.7046 6.2966 Cl
0.0000 0.0000 0.0000 Ag
0.7843 -4.4697 4.1977 Sb

***

(19)
AgSb2Cl PBE-GGA optimized geometry; total moment = 0.00 μB/f.u.; space group = P2/m; ρ = 5.9 Mg/m³; density of states at the Fermi level = 0.72 states/eV per cell; formation energy from raw total energies = -0.084 eV/atom
1.0
-3.2435 0.9944 3.5975
-0.6192 -4.2203 0.6083
3.6498 -0.8321 3.5207
Cl Sb Ag
1 2 1
Cartesian
0.6512 -3.2921 4.8955 Cl
0.1724 -0.2138 0.2146 Sb
1.3429 -2.3124 1.8499 Sb
-0.8641 -0.7659 2.8310 Ag

***

(20)
AgSb2Cl PBE-GGA optimized geometry; total moment = 0.00 μB/f.u.; space group = Imm2; ρ = 6.4 Mg/m³; density of states at the Fermi level = 1.83 states/eV per cell; formation energy from raw total energies = 0.021 eV/atom
1.0
6.9207 0.0678 0.0507
4.3582 5.3766 -0.0507
-5.1501 -3.7360 2.7245
Ag Sb Cl
1 2 1
Cartesian
6.0314 2.9113 0.0000 Ag
10.9294 5.2756 0.0000 Sb
3.6908 -0.4799 1.3876 Sb
2.3957 2.1679 1.3369 Cl

***

(21)
AgSbCl2 PBE-GGA optimized geometry; total moment = 0.00 μB/f.u.; space group = Cmm2; ρ = 4.8 Mg/m³; density of states at the Fermi level = 1.87 states/eV per cell; formation energy from raw total energies = -0.225 eV/atom
1.0
-2.0555 -2.7607 0.8802
3.3674 -1.1294 0.0790
0.5544 2.2334 8.2995
Sb Cl Ag
1 2 1
Cartesian
0.2927 1.1793 4.3823 Sb
0.8263 -1.2587 3.0301 Cl
0.5066 2.0408 7.5837 Cl
1.0723 -0.2679 6.7118 Ag